1.
! ScZn2Ga2Au2, optimized geometry, DFT PBE-GGA; values from VASP
! total DFT energy (no corrections)	-3.46	eV/atom
! DOS(E_F)	0.330	states/eV/atom
! size of the total moment	0.000	μB/atom
&SYSTEM
  ibrav = 0, nat = 7, ntyp = 4
/
ATOMIC_SPECIES
Sc 44.96 Sc.upf
Au 196.97 Au.upf
Zn 65.41 Zn.upf
Ga 69.72 Ga.upf
ATOMIC_POSITIONS crystal
Sc 0.000 0.000 0.000
Au 0.255 0.255 0.234
Zn 0.134 0.134 0.597
Zn 0.866 0.866 0.403
Ga 0.393 0.393 0.820
Au 0.745 0.745 0.766
Ga 0.607 0.607 0.180
CELL_PARAMETERS angstrom
4.468 0.000 0.000
2.234 3.869 0.000
2.234 1.290 7.263

2.
! Sc4ZnGaAu2, optimized geometry, DFT PBE-GGA; values from VASP
! total DFT energy (no corrections)	-5.17	eV/atom
! DOS(E_F)	0.529	states/eV/atom
! size of the total moment	0.000	μB/atom
&SYSTEM
  ibrav = 0, nat = 8, ntyp = 4
/
ATOMIC_SPECIES
Au 196.97 Au.upf
Sc 44.96 Sc.upf
Ga 69.72 Ga.upf
Zn 65.41 Zn.upf
ATOMIC_POSITIONS crystal
Au 0.746 0.746 0.761
Sc 0.375 0.375 0.874
Sc 0.875 0.875 0.376
Sc 0.125 0.125 0.624
Ga 0.500 0.500 0.500
Sc 0.625 0.625 0.126
Au 0.254 0.254 0.239
Zn 0.000 0.000 0.000
CELL_PARAMETERS angstrom
-3.144 -0.159 3.604
0.679 -3.037 3.636
3.279 4.424 6.233

3.
! GaAu3Se, optimized geometry, DFT PBE-GGA; values from VASP
! relative energy among the computed polymorphs	0.000	eV per atom
! total DFT energy (no corrections)	-2.85	eV/atom
! DOS(E_F)	0.555	states/eV/atom
! size of the total moment	0.000	μB/atom
! raw formation energy	2.076	eV per formula unit
&SYSTEM
  ibrav = 0, nat = 5, ntyp = 3
/
ATOMIC_SPECIES
Au 196.97 Au.upf
Se 78.96 Se.upf
Ga 69.72 Ga.upf
ATOMIC_POSITIONS crystal
Au 0.000 0.500 0.000
Se 0.000 0.000 0.000
Au 0.000 0.000 0.500
Au 0.500 0.000 0.000
Ga 0.500 0.500 0.500
CELL_PARAMETERS angstrom
-4.892 0.627 -1.252
0.020 -4.518 -2.339
-1.400 -2.254 4.342

4.
! Ga2AuSe, optimized geometry, DFT PBE-GGA; values from VASP
! total DFT energy (no corrections)	-3.47	eV/atom
! DOS(E_F)	0.191	states/eV/atom
! size of the total moment	0.000	μB/atom
! raw formation energy	-1.079	eV per formula unit
&SYSTEM
  ibrav = 0, nat = 4, ntyp = 3
/
ATOMIC_SPECIES
Se 78.96 Se.upf
Ga 69.72 Ga.upf
Au 196.97 Au.upf
ATOMIC_POSITIONS crystal
Se 0.388 0.388 0.452
Ga 0.167 0.167 0.258
Au 0.763 0.763 0.987
Ga 0.182 0.182 0.803
CELL_PARAMETERS angstrom
-0.266 -3.667 1.246
1.742 -2.933 -1.855
6.630 -2.365 3.733

5.
! Ga3AuSe, optimized geometry, DFT PBE-GGA; values from VASP
! relative energy among the computed polymorphs	0.496	eV per atom
! total DFT energy (no corrections)	-2.71	eV/atom
! DOS(E_F)	0.431	states/eV/atom
! size of the total moment	0.000	μB/atom
! raw formation energy	2.317	eV per formula unit
&SYSTEM
  ibrav = 0, nat = 5, ntyp = 3
/
ATOMIC_SPECIES
Ga 69.72 Ga.upf
Se 78.96 Se.upf
Au 196.97 Au.upf
ATOMIC_POSITIONS crystal
Ga 0.500 0.000 0.000
Ga 0.000 0.500 0.000
Se 0.000 0.000 0.000
Ga 0.000 0.000 0.500
Au 0.500 0.500 0.500
CELL_PARAMETERS angstrom
5.053 0.000 0.000
0.000 5.053 0.000
0.000 0.000 5.053

6.
! Ga2AuSe, optimized geometry, DFT PBE-GGA; values from VASP
! total DFT energy (no corrections)	-3.47	eV/atom
! DOS(E_F)	0.431	states/eV/atom
! size of the total moment	0.000	μB/atom
! raw formation energy	-1.046	eV per formula unit
&SYSTEM
  ibrav = 0, nat = 4, ntyp = 3
/
ATOMIC_SPECIES
Au 196.97 Au.upf
Ga 69.72 Ga.upf
Se 78.96 Se.upf
ATOMIC_POSITIONS crystal
Au 0.000 0.000 0.000
Ga 0.251 0.251 0.246
Se 0.500 0.500 0.500
Ga 0.749 0.749 0.754
CELL_PARAMETERS angstrom
-0.237 -2.928 2.305
2.749 -2.526 0.099
3.917 1.722 5.613

7.
! GaAuSe2, optimized geometry, DFT PBE-GGA; values from VASP
! total DFT energy (no corrections)	-3.64	eV/atom
! size of the total moment	0.000	μB/atom
! raw formation energy	-1.275	eV per formula unit
&SYSTEM
  ibrav = 0, nat = 8, ntyp = 3
/
ATOMIC_SPECIES
Se 78.96 Se.upf
Ga 69.72 Ga.upf
Au 196.97 Au.upf
ATOMIC_POSITIONS crystal
Se 0.259 0.360 0.204
Ga 0.526 0.296 0.515
Se 0.821 0.213 0.470
Se 0.638 0.619 0.843
Au 0.740 0.668 0.319
Ga 0.263 0.575 0.532
Au 0.831 0.985 0.729
Se 0.226 0.916 0.577
CELL_PARAMETERS angstrom
6.439 -0.444 -2.021
-3.653 5.567 -1.182
-0.429 0.206 6.870

8.
! Ga2AuSe, optimized geometry, DFT PBE-GGA; values from VASP
! total DFT energy (no corrections)	-3.43	eV/atom
! DOS(E_F)	0.436	states/eV/atom
! size of the total moment	0.000	μB/atom
! raw formation energy	-0.915	eV per formula unit
&SYSTEM
  ibrav = 0, nat = 8, ntyp = 3
/
ATOMIC_SPECIES
Se 78.96 Se.upf
Ga 69.72 Ga.upf
Au 196.97 Au.upf
ATOMIC_POSITIONS crystal
Se 0.250 0.750 0.500
Se 0.500 0.500 0.000
Ga 0.875 0.886 0.750
Au 0.000 0.000 0.000
Ga 0.375 0.364 0.750
Au 0.750 0.250 0.500
Ga 0.636 0.125 0.250
Ga 0.114 0.625 0.250
CELL_PARAMETERS angstrom
6.178 0.000 0.000
0.000 6.178 0.000
3.089 3.089 5.492

9.
! Ga3AuSe, optimized geometry, DFT PBE-GGA; values from VASP
! relative energy among the computed polymorphs	0.000	eV per atom
! total DFT energy (no corrections)	-3.20	eV/atom
! DOS(E_F)	0.084	states/eV/atom
! size of the total moment	0.000	μB/atom
! raw formation energy	-0.165	eV per formula unit
&SYSTEM
  ibrav = 0, nat = 5, ntyp = 3
/
ATOMIC_SPECIES
Au 196.97 Au.upf
Ga 69.72 Ga.upf
Se 78.96 Se.upf
ATOMIC_POSITIONS crystal
Au 0.000 0.000 0.000
Ga 0.500 0.000 0.000
Ga 0.000 0.500 0.000
Se 0.500 0.500 0.500
Ga 0.000 0.000 0.500
CELL_PARAMETERS angstrom
4.953 0.000 0.000
0.000 4.953 0.000
0.000 0.000 4.953

10.
! GaAuSe2, optimized geometry, DFT PBE-GGA; values from VASP
! total DFT energy (no corrections)	-3.60	eV/atom
! DOS(E_F)	0.041	states/eV/atom
! size of the total moment	0.000	μB/atom
! raw formation energy	-1.113	eV per formula unit
&SYSTEM
  ibrav = 0, nat = 4, ntyp = 3
/
ATOMIC_SPECIES
Ga 69.72 Ga.upf
Se 78.96 Se.upf
Au 196.97 Au.upf
ATOMIC_POSITIONS crystal
Ga 0.500 0.500 0.500
Se 0.107 0.107 0.107
Se 0.893 0.893 0.893
Au 0.000 0.000 0.000
CELL_PARAMETERS angstrom
5.713 -4.244 3.490
7.192 -0.667 3.263
4.757 -1.579 6.140

11.
! GaSnAu2Se4, optimized geometry, DFT PBE-GGA; values from VASP
! total DFT energy (no corrections)	-3.66	eV/atom
! DOS(E_F)	0.494	states/eV/atom
! size of the total moment	0.000	μB/atom
! raw formation energy	-1.746	eV per formula unit
&SYSTEM
  ibrav = 0, nat = 8, ntyp = 4
/
ATOMIC_SPECIES
Au 196.97 Au.upf
Se 78.96 Se.upf
Ga 69.72 Ga.upf
Sn 118.71 Sn.upf
ATOMIC_POSITIONS crystal
Au 0.236 0.236 0.472
Au 0.486 0.986 0.972
Se 0.602 0.623 0.703
Se 0.392 0.869 0.241
Ga 0.736 0.736 0.472
Se 0.101 0.080 0.703
Se 0.849 0.371 0.241
Sn 0.986 0.486 0.972
CELL_PARAMETERS angstrom
-2.270 4.850 2.857
-1.836 -3.550 4.567
7.376 0.194 -0.917

12.
! Ta2GaAu2Se4, optimized geometry, DFT PBE-GGA; values from VASP
! total DFT energy (no corrections)	-5.76	eV/atom
! DOS(E_F)	0.943	states/eV/atom
! size of the total moment	0.017	μB/atom
! raw formation energy	-4.623	eV per formula unit
&SYSTEM
  ibrav = 0, nat = 9, ntyp = 4
/
ATOMIC_SPECIES
Se 78.96 Se.upf
Au 196.97 Au.upf
Ga 69.72 Ga.upf
Ta 180.95 Ta.upf
ATOMIC_POSITIONS crystal
Se 0.667 0.333 0.089
Se 0.000 0.000 0.729
Au 0.667 0.333 0.404
Ga 0.000 0.000 0.316
Ta 0.000 0.000 0.002
Ta 0.667 0.333 0.642
Au 0.667 0.333 0.226
Se 0.000 0.000 0.554
Se 0.667 0.333 0.916
CELL_PARAMETERS angstrom
-0.499 1.706 -2.949
0.428 -3.416 -0.038
-19.184 -2.424 1.843